Run i
# GGA-PBEsol ScIr2Cl, relaxed
data_ScIr2Cl
_cell_length_a 2.8554
_cell_length_b 4.4701
_cell_length_c 4.9276
_cell_angle_alpha 90.00
_cell_angle_beta 90.00
_cell_angle_gamma 90.95
_symmetry_space_group_name_H-M 'P 1'
_symmetry_Int_Tables_number 1
loop_
_symmetry_equiv_pos_as_xyz
'x,y,z'
loop_
_atom_site_label
_atom_site_type_symbol
_atom_site_fract_x
_atom_site_fract_y
_atom_site_fract_z
Sc1 Sc 0.0000 0.5000 0.5000
Ir1 Ir 0.2515 0.2491 0.0000
Ir2 Ir 0.7485 0.7509 0.0000
Cl1 Cl 0.5000 0.0000 0.5000
# Spin magnetization, μB per formula unit: 0.0

---

Run ii
# GGA-PBEsol ScIr2Cl, relaxed
data_ScIr2Cl
_cell_length_a 2.9313
_cell_length_b 3.7224
_cell_length_c 7.0855
_cell_angle_alpha 90.00
_cell_angle_beta 90.00
_cell_angle_gamma 90.00
_symmetry_space_group_name_H-M 'P 1'
_symmetry_Int_Tables_number 1
loop_
_symmetry_equiv_pos_as_xyz
'x,y,z'
loop_
_atom_site_label
_atom_site_type_symbol
_atom_site_fract_x
_atom_site_fract_y
_atom_site_fract_z
Sc1 Sc 0.0000 0.0000 0.4787
Ir1 Ir 0.0000 0.0000 0.1121
Ir2 Ir 0.5000 0.5000 0.2273
Cl1 Cl 0.5000 0.5000 0.6818
# Spin magnetization, μB per formula unit: 0.0

---

What should be chosen as the most stable of them? Choose run ii.

---

Run i
# GGA-PBEsol IrSeCl2, relaxed
data_IrSeCl2
_cell_length_a 3.5245
_cell_length_b 5.1059
_cell_length_c 6.6442
_cell_angle_alpha 112.60
_cell_angle_beta 105.38
_cell_angle_gamma 90.00
_symmetry_space_group_name_H-M 'P 1'
_symmetry_Int_Tables_number 1
loop_
_symmetry_equiv_pos_as_xyz
'x,y,z'
loop_
_atom_site_label
_atom_site_type_symbol
_atom_site_fract_x
_atom_site_fract_y
_atom_site_fract_z
Ir1 Ir 0.4789 0.4789 0.9578
Se1 Se 0.1095 0.6095 0.2190
Cl1 Cl 0.0707 0.0707 0.1415
Cl2 Cl 0.8408 0.3408 0.6817
# Spin magnetization, μB per formula unit: 1.0

---

Run ii
# GGA-PBEsol IrSeCl2, relaxed
data_IrSeCl2
_cell_length_a 2.9055
_cell_length_b 3.1797
_cell_length_c 8.4770
_cell_angle_alpha 90.00
_cell_angle_beta 90.00
_cell_angle_gamma 90.00
_symmetry_space_group_name_H-M 'P 1'
_symmetry_Int_Tables_number 1
loop_
_symmetry_equiv_pos_as_xyz
'x,y,z'
loop_
_atom_site_label
_atom_site_type_symbol
_atom_site_fract_x
_atom_site_fract_y
_atom_site_fract_z
Ir1 Ir 0.0000 0.0000 0.4729
Se1 Se 0.5000 0.5000 0.3141
Cl1 Cl 0.0000 0.0000 0.0371
Cl2 Cl 0.5000 0.5000 0.6759
# Spin magnetization, μB per formula unit: 0.0

---

Run iii
# GGA-PBEsol IrSeCl2, relaxed
data_IrSeCl2
_cell_length_a 4.5996
_cell_length_b 7.2768
_cell_length_c 7.2768
_cell_angle_alpha 84.27
_cell_angle_beta 71.58
_cell_angle_gamma 71.58
_symmetry_space_group_name_H-M 'P 1'
_symmetry_Int_Tables_number 1
loop_
_symmetry_equiv_pos_as_xyz
'x,y,z'
loop_
_atom_site_label
_atom_site_type_symbol
_atom_site_fract_x
_atom_site_fract_y
_atom_site_fract_z
Ir1 Ir 0.0000 0.0000 0.0000
Ir2 Ir 0.7500 0.5000 0.5000
Se1 Se 0.5000 0.0000 0.0000
Se2 Se 0.2500 0.5000 0.5000
Cl1 Cl 0.8750 0.2500 0.2500
Cl2 Cl 0.3750 0.7500 0.7500
Cl3 Cl 0.8750 0.2500 0.7500
Cl4 Cl 0.8750 0.7500 0.2500
# Spin magnetization, μB per formula unit: 0.0

---

What should be chosen as the most stable of them? Choose run i.

---

Run i
# GGA-PBEsol Si2IrCl, relaxed
data_Si2IrCl
_cell_length_a 3.5662
_cell_length_b 3.5662
_cell_length_c 4.7217
_cell_angle_alpha 90.00
_cell_angle_beta 90.00
_cell_angle_gamma 90.00
_symmetry_space_group_name_H-M 'P 1'
_symmetry_Int_Tables_number 1
loop_
_symmetry_equiv_pos_as_xyz
'x,y,z'
loop_
_atom_site_label
_atom_site_type_symbol
_atom_site_fract_x
_atom_site_fract_y
_atom_site_fract_z
Si1 Si 0.0000 0.5000 0.0000
Si2 Si 0.5000 0.0000 0.0000
Ir1 Ir 0.0000 0.0000 0.5000
Cl1 Cl 0.5000 0.5000 0.5000
# Spin magnetization, μB per formula unit: 0.0

---

Run ii
# GGA-PBEsol Si2IrCl, relaxed
data_Si2IrCl
_cell_length_a 2.8766
_cell_length_b 4.8622
_cell_length_c 4.8622
_cell_angle_alpha 87.64
_cell_angle_beta 74.41
_cell_angle_gamma 74.41
_symmetry_space_group_name_H-M 'P 1'
_symmetry_Int_Tables_number 1
loop_
_symmetry_equiv_pos_as_xyz
'x,y,z'
loop_
_atom_site_label
_atom_site_type_symbol
_atom_site_fract_x
_atom_site_fract_y
_atom_site_fract_z
Si1 Si 0.0000 0.0000 0.5000
Si2 Si 0.0000 0.5000 0.0000
Ir1 Ir 0.0000 0.0000 0.0000
Cl1 Cl 0.0000 0.5000 0.5000
# Spin magnetization, μB per formula unit: 0.0

---

What should be chosen as the most stable of them? Choose run ii.

---

Run i
# GGA-PBEsol SrIr2Cl, relaxed
data_SrIr2Cl
_cell_length_a 4.1418
_cell_length_b 4.1418
_cell_length_c 5.0754
_cell_angle_alpha 90.00
_cell_angle_beta 90.00
_cell_angle_gamma 90.00
_symmetry_space_group_name_H-M 'P 1'
_symmetry_Int_Tables_number 1
loop_
_symmetry_equiv_pos_as_xyz
'x,y,z'
loop_
_atom_site_label
_atom_site_type_symbol
_atom_site_fract_x
_atom_site_fract_y
_atom_site_fract_z
Sr1 Sr 0.5000 0.5000 0.0000
Ir1 Ir 0.0000 0.0000 0.7587
Ir2 Ir 0.0000 0.0000 0.2413
Cl1 Cl 0.5000 0.5000 0.5000
# Spin magnetization, μB per formula unit: 0.0

---

Run ii
# GGA-PBEsol SrIr2Cl, relaxed
data_SrIr2Cl
_cell_length_a 2.8985
_cell_length_b 5.0201
_cell_length_c 6.0859
_cell_angle_alpha 114.36
_cell_angle_beta 90.00
_cell_angle_gamma 90.00
_symmetry_space_group_name_H-M 'P 1'
_symmetry_Int_Tables_number 1
loop_
_symmetry_equiv_pos_as_xyz
'x,y,z'
loop_
_atom_site_label
_atom_site_type_symbol
_atom_site_fract_x
_atom_site_fract_y
_atom_site_fract_z
Sr1 Sr 0.5000 0.0000 0.0000
Ir1 Ir 0.0000 0.0000 0.5000
Ir2 Ir 0.0000 0.5000 0.5000
Cl1 Cl 0.5000 0.5000 0.0000
# Spin magnetization, μB per formula unit: 0.0

---

Run iii
# GGA-PBEsol SrIr2Cl, relaxed
data_SrIr2Cl
_cell_length_a 3.6979
_cell_length_b 3.6979
_cell_length_c 6.0061
_cell_angle_alpha 90.00
_cell_angle_beta 90.00
_cell_angle_gamma 90.00
_symmetry_space_group_name_H-M 'P 1'
_symmetry_Int_Tables_number 1
loop_
_symmetry_equiv_pos_as_xyz
'x,y,z'
loop_
_atom_site_label
_atom_site_type_symbol
_atom_site_fract_x
_atom_site_fract_y
_atom_site_fract_z
Sr1 Sr 0.5000 0.5000 0.5000
Ir1 Ir 0.0000 0.5000 0.0000
Ir2 Ir 0.5000 0.0000 0.0000
Cl1 Cl 0.0000 0.0000 0.5000
# Spin magnetization, μB per formula unit: 0.0

---

What should be chosen as the most stable of them? Choose run iii.

---

Run i
# GGA-PBEsol TaIrCl3, relaxed
data_TaIrCl3
_cell_length_a 4.7382
_cell_length_b 4.7382
_cell_length_c 4.7382
_cell_angle_alpha 90.00
_cell_angle_beta 90.00
_cell_angle_gamma 90.00
_symmetry_space_group_name_H-M 'P 1'
_symmetry_Int_Tables_number 1
loop_
_symmetry_equiv_pos_as_xyz
'x,y,z'
loop_
_atom_site_label
_atom_site_type_symbol
_atom_site_fract_x
_atom_site_fract_y
_atom_site_fract_z
Cl1 Cl 0.0000 0.5000 0.0000
Cl2 Cl 0.0000 0.0000 0.5000
Cl3 Cl 0.5000 0.0000 0.0000
Ir1 Ir 0.5000 0.5000 0.5000
Ta1 Ta 0.0000 0.0000 0.0000
# Spin magnetization, μB per formula unit: 2.6

---

Run ii
# GGA-PBEsol TaIrCl3, relaxed
data_TaIrCl3
_cell_length_a 4.6986
_cell_length_b 4.6986
_cell_length_c 4.6986
_cell_angle_alpha 90.00
_cell_angle_beta 90.00
_cell_angle_gamma 90.00
_symmetry_space_group_name_H-M 'P 1'
_symmetry_Int_Tables_number 1
loop_
_symmetry_equiv_pos_as_xyz
'x,y,z'
loop_
_atom_site_label
_atom_site_type_symbol
_atom_site_fract_x
_atom_site_fract_y
_atom_site_fract_z
Cl1 Cl 0.0000 0.5000 0.0000
Cl2 Cl 0.0000 0.0000 0.5000
Cl3 Cl 0.5000 0.0000 0.0000
Ir1 Ir 0.0000 0.0000 0.0000
Ta1 Ta 0.5000 0.5000 0.5000
# Spin magnetization, μB per formula unit: 3.3

---

What should be chosen as the most stable of them? Choose run i.

---

Run i
# GGA-PBEsol TaIrCl2, relaxed
data_TaIrCl2
_cell_length_a 2.9814
_cell_length_b 4.4005
_cell_length_c 7.1036
_cell_angle_alpha 108.04
_cell_angle_beta 102.11
_cell_angle_gamma 90.00
_symmetry_space_group_name_H-M 'P 1'
_symmetry_Int_Tables_number 1
loop_
_symmetry_equiv_pos_as_xyz
'x,y,z'
loop_
_atom_site_label
_atom_site_type_symbol
_atom_site_fract_x
_atom_site_fract_y
_atom_site_fract_z
Cl1 Cl 0.6532 0.6532 0.3064
Cl2 Cl 0.3468 0.3468 0.6936
Ir1 Ir 0.5000 0.0000 0.0000
Ta1 Ta 0.0000 0.5000 0.0000
# Spin magnetization, μB per formula unit: 0.0

---

Run ii
# GGA-PBEsol TaIrCl2, relaxed
data_TaIrCl2
_cell_length_a 3.9701
_cell_length_b 3.9701
_cell_length_c 4.2867
_cell_angle_alpha 90.00
_cell_angle_beta 90.00
_cell_angle_gamma 91.18
_symmetry_space_group_name_H-M 'P 1'
_symmetry_Int_Tables_number 1
loop_
_symmetry_equiv_pos_as_xyz
'x,y,z'
loop_
_atom_site_label
_atom_site_type_symbol
_atom_site_fract_x
_atom_site_fract_y
_atom_site_fract_z
Cl1 Cl 0.7632 0.2368 0.0000
Cl2 Cl 0.2368 0.7632 0.0000
Ir1 Ir 0.5000 0.5000 0.5000
Ta1 Ta 0.0000 0.0000 0.5000
# Spin magnetization, μB per formula unit: 0.0

---

What should be chosen as the most stable of them? Choose run i.